{
  "formula": "Tl3VP2O8",
  "functional": "PBE with a Hubbard U",
  "state": "relaxed",
  "rho_g_cm3": 6.577,
  "m_tot_mub_per_atom": 0.14,
  "energy_ev_per_atom": -6.411,
  "lattice": [[-5.173, -1.365, -1.017], [3.911, -1.307, -3.558], [1.153, -7.315, 3.954]],
  "species": ["Tl", "Tl", "Tl", "V", "P", "P", "O", "O", "O", "O", "O", "O", "O", "O"],
  "fractional_positions": [[0.333, 0.667, 0.783], [0.667, 0.333, 0.217], [0.000, 0.000, 0.000], [0.000, 0.000, 0.500], [0.333, 0.667, 0.300], [0.667, 0.333, 0.700], [0.333, 0.667, 0.115], [0.667, 0.333, 0.885], [0.177, 0.823, 0.358], [0.823, 0.177, 0.642], [0.177, 0.354, 0.358], [0.823, 0.646, 0.642], [0.646, 0.823, 0.358], [0.354, 0.177, 0.642]]
}